Entry 1:
# Mn4AlSiC | the Alexandria database | GGA-PBE | relaxed
# - energy (eV/atom) = -7.902
# - formation energy from raw total energies (eV per atom) = -0.04
data_Mn4AlSiC
_chemical_formula_sum 'Mn8 Al2 Si2 C2'
_space_group_name_H-M_alt 'P 1'
_space_group_IT_number 1
_space_group_name_Hall 'P 1'
_cell_length_a 5.2623
_cell_length_b 5.2795
_cell_length_c 6.7794
_cell_angle_alpha 90.00
_cell_angle_beta 112.84
_cell_angle_gamma 90.00
loop_
_atom_site_label
_atom_site_type_symbol
_atom_site_fract_x
_atom_site_fract_y
_atom_site_fract_z
Mn1 Mn 0.9260 0.2500 0.8520
Mn2 Mn 0.4082 0.7500 0.8164
Mn3 Mn 0.0740 0.7500 0.1480
Mn4 Mn 0.5918 0.2500 0.1836
Mn5 Mn 0.5000 0.5000 0.5000
Mn6 Mn 0.0000 0.0000 0.5000
Mn7 Mn 0.5000 0.0000 0.5000
Mn8 Mn 0.0000 0.5000 0.5000
Al1 Al 0.6083 0.7500 0.2166
Al2 Al 0.3917 0.2500 0.7834
Si1 Si 0.1184 0.2500 0.2368
Si2 Si 0.8816 0.7500 0.7632
C1 C 0.2410 0.7500 0.4820
C2 C 0.7590 0.2500 0.5180



Entry 2:
# MnAl2SnC | the Alexandria database | GGA-PBE | relaxed
# - energy (eV/atom) = -3.824
# - E_form (eV per atom) = 2.1521
data_MnAl2SnC
_chemical_formula_sum 'Mn1 Al2 Sn1 C1'
_space_group_name_H-M_alt 'P 1'
_space_group_IT_number 1
_space_group_name_Hall 'P 1'
_cell_length_a 5.2133
_cell_length_b 5.0897
_cell_length_c 5.2133
_cell_angle_alpha 90.00
_cell_angle_beta 90.00
_cell_angle_gamma 90.00
loop_
_atom_site_label
_atom_site_type_symbol
_atom_site_fract_x
_atom_site_fract_y
_atom_site_fract_z
C1 C 0.5000 0.5000 0.5000
Mn1 Mn 0.0000 0.5000 0.0000
Sn1 Sn 0.0000 0.0000 0.0000
Al1 Al 0.0000 0.0000 0.5000
Al2 Al 0.5000 0.0000 0.0000



Entry 3:
# TbMn2AlC | the Alexandria database | GGA-PBE | relaxed
# - energy (eV/atom) = -7.401
# - E_form (eV per atom) = -0.2135
data_TbMn2AlC
_chemical_formula_sum 'Tb2 Mn4 Al2 C2'
_space_group_name_H-M_alt 'P 1'
_space_group_IT_number 1
_space_group_name_Hall 'P 1'
_cell_length_a 3.8413
_cell_length_b 5.7167
_cell_length_c 7.1306
_cell_angle_alpha 90.00
_cell_angle_beta 90.00
_cell_angle_gamma 109.63
loop_
_atom_site_label
_atom_site_type_symbol
_atom_site_fract_x
_atom_site_fract_y
_atom_site_fract_z
Tb1 Tb 0.4592 0.9184 0.7500
Tb2 Tb 0.5408 0.0816 0.2500
Mn1 Mn 0.1645 0.3289 0.9333
Mn2 Mn 0.8355 0.6711 0.0667
Mn3 Mn 0.1645 0.3289 0.5667
Mn4 Mn 0.8355 0.6711 0.4333
Al1 Al 0.7386 0.4772 0.7500
Al2 Al 0.2614 0.5228 0.2500
C1 C 0.0000 0.0000 0.0000
C2 C 0.0000 0.0000 0.5000



Entry 4:
# MnAl2TeC | the Alexandria database | GGA-PBE | relaxed
# - energy (eV/atom) = -3.336
# - formation energy from raw total energies (eV per atom) = 2.47
data_MnAl2TeC
_chemical_formula_sum 'Mn1 Al2 Te1 C1'
_space_group_name_H-M_alt 'P 1'
_space_group_IT_number 1
_space_group_name_Hall 'P 1'
_cell_length_a 5.3529
_cell_length_b 4.6878
_cell_length_c 5.3529
_cell_angle_alpha 90.00
_cell_angle_beta 90.00
_cell_angle_gamma 90.00
loop_
_atom_site_label
_atom_site_type_symbol
_atom_site_fract_x
_atom_site_fract_y
_atom_site_fract_z
C1 C 0.5000 0.5000 0.5000
Te1 Te 0.0000 0.0000 0.0000
Al1 Al 0.0000 0.0000 0.5000
Al2 Al 0.5000 0.0000 0.0000
Mn1 Mn 0.0000 0.5000 0.0000



Entry 5:
# ThMnAlC | the Alexandria database | GGA-PBE | relaxed
# - energy (eV/atom) = -7.504
# - E_form (eV per atom) = -0.1150
data_ThMnAlC
_chemical_formula_sum 'Th1 Mn1 Al1 C1'
_space_group_name_H-M_alt 'P 1'
_space_group_IT_number 1
_space_group_name_Hall 'P 1'
_cell_length_a 3.6688
_cell_length_b 3.6688
_cell_length_c 5.8263
_cell_angle_alpha 108.35
_cell_angle_beta 108.35
_cell_angle_gamma 90.00
loop_
_atom_site_label
_atom_site_type_symbol
_atom_site_fract_x
_atom_site_fract_y
_atom_site_fract_z
Th1 Th 0.7311 0.7311 0.4622
Mn1 Mn 0.4267 0.4267 0.8533
Al1 Al 0.0378 0.0378 0.0756
C1 C 0.2348 0.2348 0.4696



Entry 6:
# TiMn2AlC | the Alexandria database | GGA-PBE | relaxed
# - energy (eV/atom) = -8.099
# - E_form (eV per atom) = -0.2594
data_TiMn2AlC
_chemical_formula_sum 'Ti1 Mn2 Al1 C1'
_space_group_name_H-M_alt 'P 1'
_space_group_IT_number 1
_space_group_name_Hall 'P 1'
_cell_length_a 3.8362
_cell_length_b 3.8362
_cell_length_c 4.1509
_cell_angle_alpha 90.00
_cell_angle_beta 90.00
_cell_angle_gamma 90.00
loop_
_atom_site_label
_atom_site_type_symbol
_atom_site_fract_x
_atom_site_fract_y
_atom_site_fract_z
C1 C 0.0000 0.0000 0.0000
Mn1 Mn 0.0000 0.5000 0.0000
Mn2 Mn 0.5000 0.0000 0.0000
Al1 Al 0.5000 0.5000 0.5000
Ti1 Ti 0.0000 0.0000 0.5000